[1]
# Zr2BeZnIn, relaxed, DFT PBE
data_Zr2BeZnIn
_cell_length_a 4.768
_cell_length_b 4.768
_cell_length_c 4.278
_cell_angle_alpha 90.00
_cell_angle_beta 90.00
_cell_angle_gamma 90.00
_symmetry_space_group_name_H-M 'P 4/m m m'
_symmetry_Int_Tables_number 123
_symmetry_space_group_name_Hall '-P 4 2'
loop_
_atom_site_label
_atom_site_fract_x
_atom_site_fract_y
_atom_site_fract_z
Zr1 0.000 0.500 0.000
Be1 0.000 0.000 0.000
Zn1 0.000 0.000 0.500
In1 0.500 0.500 0.500
# - ΔE_f: 0.03 eV/atom
# - DOS(E_F): 2.67 states/eV/f.u.

[2]
# ZrBe2In, relaxed, DFT PBE
data_ZrBe2In
_cell_length_a 3.000
_cell_length_b 3.000
_cell_length_c 6.987
_cell_angle_alpha 90.00
_cell_angle_beta 90.00
_cell_angle_gamma 90.00
_symmetry_space_group_name_H-M 'P 4 m m'
_symmetry_Int_Tables_number 99
loop_
_symmetry_equiv_pos_as_xyz
'x,y,z'
'-y,x,z'
'-x,-y,z'
'y,-x,z'
'-x,y,z'
'y,x,z'
'x,-y,z'
'-y,-x,z'
loop_
_atom_site_label
_atom_site_fract_x
_atom_site_fract_y
_atom_site_fract_z
Zr1 0.000 0.000 0.000
Be1 0.000 0.000 0.393
Be2 0.500 0.500 0.260
In1 0.500 0.500 0.659
# - ΔE_f: 0.10 eV/atom
# - DOS(E_F): 1.97 states/eV/f.u.

[3]
# ZrBeIn2, relaxed, DFT PBE
data_ZrBeIn2
_cell_length_a 4.101
_cell_length_b 4.101
_cell_length_c 9.422
_cell_angle_alpha 90.00
_cell_angle_beta 90.00
_cell_angle_gamma 90.00
_symmetry_space_group_name_H-M 'I 4/m m m'
_symmetry_Int_Tables_number 139
_symmetry_space_group_name_Hall '-I 4 2'
loop_
_atom_site_label
_atom_site_fract_x
_atom_site_fract_y
_atom_site_fract_z
Zr1 0.000 0.000 0.000
Be1 0.000 0.000 0.500
In1 0.000 0.500 0.250
# - ΔE_f: 0.08 eV/atom
# - DOS(E_F): 3.21 states/eV/f.u.

[4]
# Zr2BeIn, relaxed, DFT PBE
data_Zr2BeIn
_cell_length_a 3.240
_cell_length_b 4.126
_cell_length_c 6.106
_cell_angle_alpha 90.00
_cell_angle_beta 90.00
_cell_angle_gamma 90.00
_symmetry_space_group_name_H-M 'P m m 2'
_symmetry_Int_Tables_number 25
loop_
_symmetry_equiv_pos_as_xyz
'x,y,z'
'-x,-y,z'
'-x,y,z'
'x,-y,z'
loop_
_atom_site_label
_atom_site_fract_x
_atom_site_fract_y
_atom_site_fract_z
Zr1 0.000 0.000 0.000
Zr2 0.500 0.500 0.258
Be1 0.000 0.000 0.459
In1 0.500 0.500 0.733
# - E above lowest polymorph: 0.317 eV per atom
# - ΔE_f: 0.14 eV/atom
# - DOS(E_F): 2.88 states/eV/f.u.

[5]
# ZrBe2In, relaxed, DFT PBE
data_ZrBe2In
_cell_length_a 4.147
_cell_length_b 4.147
_cell_length_c 3.662
_cell_angle_alpha 90.00
_cell_angle_beta 90.00
_cell_angle_gamma 90.00
_symmetry_space_group_name_H-M 'P 4/m m m'
_symmetry_Int_Tables_number 123
_symmetry_space_group_name_Hall '-P 4 2'
loop_
_atom_site_label
_atom_site_fract_x
_atom_site_fract_y
_atom_site_fract_z
Zr1 0.000 0.000 0.000
Be1 0.000 0.500 0.500
In1 0.500 0.500 0.000
# - ΔE_f: -0.02 eV/atom
# - DOS(E_F): 1.84 states/eV/f.u.

[6]
# ZrBe2In, relaxed, DFT PBE
data_ZrBe2In
_cell_length_a 4.220
_cell_length_b 4.220
_cell_length_c 16.514
_cell_angle_alpha 90.00
_cell_angle_beta 90.00
_cell_angle_gamma 90.00
_symmetry_space_group_name_H-M 'I 41/a m d'
_symmetry_Int_Tables_number 141
loop_
_symmetry_equiv_pos_as_xyz
'x,y,z'
'-x,-y,-z'
'-y+1/4,x+3/4,z+1/4'
'y+1/4,-x+3/4,-z+1/4'
'-x+1/2,-y,z+1/2'
'x+1/2,y,-z+1/2'
'y+1/4,-x+1/4,z+3/4'
'-y+1/4,x+1/4,-z+3/4'
'x,-y,-z'
'-x,y,z'
'-y+1/4,-x+1/4,-z+3/4'
'y+1/4,x+1/4,z+3/4'
'-x+1/2,y,-z+1/2'
'x+1/2,-y,z+1/2'
'y+1/4,x+3/4,-z+1/4'
'-y+1/4,-x+3/4,z+1/4'
'x+1/2,y+1/2,z+1/2'
'-x+1/2,-y+1/2,-z+1/2'
'-y+3/4,x+1/4,z+3/4'
'y+3/4,-x+1/4,-z+3/4'
'-x,-y+1/2,z'
'x,y+1/2,-z'
'y+3/4,-x+3/4,z+1/4'
'-y+3/4,x+3/4,-z+1/4'
'x+1/2,-y+1/2,-z+1/2'
'-x+1/2,y+1/2,z+1/2'
'-y+3/4,-x+3/4,-z+1/4'
'y+3/4,x+3/4,z+1/4'
'-x,y+1/2,-z'
'x,-y+1/2,z'
'y+3/4,x+1/4,-z+3/4'
'-y+3/4,-x+1/4,z+3/4'
loop_
_atom_site_label
_atom_site_fract_x
_atom_site_fract_y
_atom_site_fract_z
Zr1 0.000 0.250 0.375
Be1 0.000 0.000 0.000
In1 0.000 0.250 0.875
# - ΔE_f: 0.52 eV/atom
# - DOS(E_F): 2.14 states/eV/f.u.

[7]
# Zr2BeIn, relaxed, DFT PBE
data_Zr2BeIn
_cell_length_a 4.115
_cell_length_b 4.115
_cell_length_c 9.318
_cell_angle_alpha 90.00
_cell_angle_beta 90.00
_cell_angle_gamma 90.00
_symmetry_space_group_name_H-M 'I -4 m 2'
_symmetry_Int_Tables_number 119
_symmetry_space_group_name_Hall 'I -4 -2'
loop_
_atom_site_label
_atom_site_fract_x
_atom_site_fract_y
_atom_site_fract_z
Zr1 0.000 0.000 0.000
Zr2 0.000 0.500 0.250
Be1 0.000 0.500 0.750
In1 0.000 0.000 0.500
# - E above lowest polymorph: 0.194 eV per atom
# - ΔE_f: 0.01 eV/atom
# - DOS(E_F): 2.67 states/eV/f.u.

[8]
# ZrBeIn2, relaxed, DFT PBE
data_ZrBeIn2
_cell_length_a 4.293
_cell_length_b 5.124
_cell_length_c 7.159
_cell_angle_alpha 90.00
_cell_angle_beta 90.00
_cell_angle_gamma 90.00
_symmetry_space_group_name_H-M 'C m m m'
_symmetry_Int_Tables_number 65
_symmetry_space_group_name_Hall '-C 2 2'
loop_
_atom_site_label
_atom_site_fract_x
_atom_site_fract_y
_atom_site_fract_z
Zr1 0.000 0.000 0.000
Be1 0.000 0.000 0.500
In1 0.000 0.500 0.289
# - ΔE_f: 0.11 eV/atom
# - DOS(E_F): 1.52 states/eV/f.u.

[9]
# Zr2BeIn, relaxed, DFT PBE
data_Zr2BeIn
_cell_length_a 5.966
_cell_length_b 8.197
_cell_length_c 3.198
_cell_angle_alpha 90.00
_cell_angle_beta 90.00
_cell_angle_gamma 90.00
_symmetry_space_group_name_H-M 'C m m m'
_symmetry_Int_Tables_number 65
_symmetry_space_group_name_Hall '-C 2 2'
loop_
_atom_site_label
_atom_site_fract_x
_atom_site_fract_y
_atom_site_fract_z
Zr1 0.250 0.250 0.000
Be1 0.000 0.000 0.500
In1 0.000 0.500 0.500
# - E above lowest polymorph: 0.129 eV per atom
# - ΔE_f: -0.05 eV/atom
# - DOS(E_F): 2.79 states/eV/f.u.

[10]
# Zr4Be2In5, relaxed, DFT PBE
data_Zr4Be2In5
_cell_length_a 7.461
_cell_length_b 3.267
_cell_length_c 9.162
_cell_angle_alpha 90.00
_cell_angle_beta 95.99
_cell_angle_gamma 90.00
_symmetry_space_group_name_H-M 'P 1 2/m 1'
_symmetry_Int_Tables_number 10
loop_
_symmetry_equiv_pos_as_xyz
'x,y,z'
'-x,-y,-z'
'-x,y,-z'
'x,-y,z'
loop_
_atom_site_label
_atom_site_fract_x
_atom_site_fract_y
_atom_site_fract_z
Zr1 0.177 0.000 0.346
Zr2 0.219 0.000 0.937
Be1 0.067 0.500 0.115
In1 0.166 0.500 0.647
In2 0.451 0.500 0.173
In3 0.500 0.500 0.500
# - ΔE_f: -0.25 eV/atom
# - DOS(E_F): 3.62 states/eV/f.u.

[11]
# Zr2Be2In, relaxed, DFT PBE
data_Zr2Be2In
_cell_length_a 7.709
_cell_length_b 7.709
_cell_length_c 3.103
_cell_angle_alpha 90.00
_cell_angle_beta 90.00
_cell_angle_gamma 90.00
_symmetry_space_group_name_H-M 'P 4/m b m'
_symmetry_Int_Tables_number 127
_symmetry_space_group_name_Hall '-P 4 2ab'
loop_
_atom_site_label
_atom_site_fract_x
_atom_site_fract_y
_atom_site_fract_z
Zr1 0.138 0.362 0.000
Be1 0.167 0.667 0.500
In1 0.000 0.000 0.000
# - E above lowest polymorph: 0.553 eV per atom
# - ΔE_f: 0.27 eV/atom
# - DOS(E_F): 3.48 states/eV/f.u.

[12]
# ZrBe2In, relaxed, DFT PBE
data_ZrBe2In
_cell_length_a 5.856
_cell_length_b 8.600
_cell_length_c 2.768
_cell_angle_alpha 90.00
_cell_angle_beta 108.78
_cell_angle_gamma 90.00
_symmetry_space_group_name_H-M 'C 1 2/m 1'
_symmetry_Int_Tables_number 12
loop_
_symmetry_equiv_pos_as_xyz
'x,y,z'
'-x,-y,-z'
'-x,y,-z'
'x,-y,z'
'x+1/2,y+1/2,z'
'-x+1/2,-y+1/2,-z'
'-x+1/2,y+1/2,-z'
'x+1/2,-y+1/2,z'
loop_
_atom_site_label
_atom_site_fract_x
_atom_site_fract_y
_atom_site_fract_z
Zr1 0.000 0.000 0.000
Be1 0.250 0.250 0.500
In1 0.000 0.500 0.000
# - ΔE_f: 0.34 eV/atom
# - DOS(E_F): 1.17 states/eV/f.u.